This record from Alexandria describes an optimized crystal structure of AcPm4Ge3. The functional is GGA-PBE.

Cell lengths 4.832, 4.832, 10.159 Å; angles 90.00, 90.00, 90.00 degrees
Sites, in units of the cell vectors:
Ge: 0.000 0.000 0.000
Ac: 0.000 0.000 0.500
Ge: 0.500 0.500 0.368
Ge: 0.500 0.500 0.632
Pm: 0.000 0.500 0.815
Pm: 0.500 0.000 0.815
Pm: 0.000 0.500 0.185
Pm: 0.500 0.000 0.185

Summary:
Total magnetization, μB/f.u.: 0.000
Space group: P4/mmm (123)
Total energy, Ha/atom: -0.190
Calculated formation energy, meV per atom: -558